# AlBiHPd2

AlBiHPd2 at its PBEsol-relaxed geometry (meta-GGA SCAN, Alexandria).

```
AlBiHPd2
1.0
4.857 0.000 0.000
0.000 4.857 0.000
0.000 0.000 3.400
Al Bi H Pd
1 1 1 2
direct
0.000 0.000 0.000
0.500 0.500 0.500
0.000 0.000 0.500
0.000 0.500 0.000
0.500 0.000 0.000
```

Computed properties:
Crystal system: tetragonal
Raw total energy: -31.12 eV per atom